Entry 1:
A plane-wave DFT calculation with GGA-PBE was carried out for an optimized crystal structure of TbDy2Al.

a b c (Å): 5.2866 6.8519 11.8589
angles (deg): 90.00 90.00 90.00
Closest atoms and distances in Å follow each position.
Fractional coordinates of all 16 atoms:
Tb 0.0000 0.2367 0.0000  4 Al 3.24-3.43, 6 Dy 3.24-3.60, 2 Tb 3.24-3.61
Tb 0.0000 0.2633 0.5000  4 Al 3.24-3.43, 6 Dy 3.24-3.60, 2 Tb 3.24-3.61
Tb 0.0000 0.7367 0.5000  4 Al 3.24-3.43, 6 Dy 3.24-3.60, 2 Tb 3.24-3.61
Tb 0.0000 0.7633 0.0000  4 Al 3.24-3.43, 6 Dy 3.24-3.60, 2 Tb 3.24-3.61
Dy 0.0000 0.0000 0.7632  4 Al 3.24-3.43, 4 Tb 3.24-3.60, 4 Dy 3.36
Dy 0.0000 0.5000 0.2632  4 Al 3.24-3.43, 4 Tb 3.24-3.60, 4 Dy 3.36
Dy 0.5000 0.0000 0.4126  4 Al 3.24-3.43, 4 Dy 3.24-3.60, 4 Tb 3.36
Dy 0.5000 0.2369 0.1757  4 Al 3.24-3.43, 6 Dy 3.24-3.60, 2 Tb 3.37
Dy 0.5000 0.2631 0.6757  4 Al 3.24-3.43, 6 Dy 3.24-3.60, 2 Tb 3.37
Dy 0.5000 0.5000 0.9126  4 Al 3.24-3.43, 4 Dy 3.24-3.60, 4 Tb 3.36
Dy 0.5000 0.7369 0.6757  4 Al 3.24-3.43, 6 Dy 3.24-3.60, 2 Tb 3.37
Dy 0.5000 0.7631 0.1757  4 Al 3.24-3.43, 6 Dy 3.24-3.60, 2 Tb 3.37
Al 0.0000 0.0000 0.2547  8 Dy 3.24-3.43, 4 Tb 3.42-3.43
Al 0.0000 0.5000 0.7547  8 Dy 3.24-3.43, 4 Tb 3.42-3.43
Al 0.5000 0.0000 0.9206  8 Dy 3.24-3.43, 4 Tb 3.24
Al 0.5000 0.5000 0.4206  8 Dy 3.24-3.43, 4 Tb 3.24

The formation enthalpy at 0 K is -0.1991 eV/atom. The density of states at the Fermi level comes out at 0.969 states/eV per atom. As for the relative energy among the computed polymorphs: 0 meV/atom. For the total energy, the calculation gives -0.16880 hartree per atom. As for the space-group type: Amm2 (38).

---

Entry 2:
A plane-wave DFT calculation with GGA-PBE was carried out for an optimized crystal structure of SmNpRu.

a b c (Å): 7.3361 7.3361 7.3361
angles (deg): 60.00 60.00 60.00
Closest atoms and distances in Å follow each position.
Fractional coordinates of all 12 atoms:
Sm 0.1225 0.1225 0.1225  3 Ru 2.89
Sm 0.1225 0.1225 0.6324  3 Ru 2.89
Sm 0.1225 0.6324 0.1225  3 Ru 2.89
Sm 0.6324 0.1225 0.1225  3 Ru 2.89
Np 0.2163 0.5946 0.5946  3 Ru 2.76, 3 Np 2.77
Np 0.5946 0.2163 0.5946  3 Ru 2.76, 3 Np 2.77
Np 0.5946 0.5946 0.2163  3 Ru 2.76, 3 Np 2.77
Np 0.5946 0.5946 0.5946  3 Ru 2.76, 3 Np 2.77
Ru 0.4576 0.8475 0.8475  3 Np 2.76, 3 Ru 2.86, 3 Sm 2.89
Ru 0.8475 0.4576 0.8475  3 Np 2.76, 3 Ru 2.86, 3 Sm 2.89
Ru 0.8475 0.8475 0.4576  3 Np 2.76, 3 Ru 2.86, 3 Sm 2.89
Ru 0.8475 0.8475 0.8475  3 Np 2.76, 3 Ru 2.86, 3 Sm 2.89

The formation enthalpy at 0 K is 0.0191 eV/atom. The density of states at the Fermi level comes out at 0.908 states/eV per atom. For the total energy, the calculation gives -0.32926 hartree per atom. As for the space-group type: F-43m (216).